Entry a
Computed, not measured: a relaxed structure of TlHg2Te2 at the PBE level of DFT.

Unit cell a=5.568 b=5.568 c=10.484 alpha=90.00 beta=90.00 gamma=90.00
Positions (direct):
Tl: 0.000 0.000 0.000
Tl: 0.500 0.500 0.500
Hg: 0.000 0.000 0.369
Hg: 0.000 0.000 0.631
Hg: 0.500 0.500 0.131
Hg: 0.500 0.500 0.869
Te: 0.000 0.500 0.250
Te: 0.000 0.500 0.750
Te: 0.500 0.000 0.250
Te: 0.500 0.000 0.750

The value obtained for the volume is 32.5 Å³ per atom.

Entry b
Computed, not measured: a relaxed structure of TlHg2Te2 at the PBE level of DFT.

Unit cell a=8.697 b=8.697 c=4.003 alpha=90.00 beta=90.00 gamma=90.00
Positions (direct):
Tl: 0.000 0.000 0.000
Tl: 0.500 0.500 0.000
Hg: 0.150 0.350 0.500
Hg: 0.350 0.850 0.500
Hg: 0.650 0.150 0.500
Hg: 0.850 0.650 0.500
Te: 0.155 0.655 0.000
Te: 0.345 0.155 0.000
Te: 0.655 0.845 0.000
Te: 0.845 0.345 0.000

The value obtained for the volume is 30.3 Å³ per atom.

Q: Which of them is the most stable? A: entry a.

Entry a
Computed, not measured: a relaxed structure of Tl2HgTe at the PBE level of DFT.

Unit cell a=5.313 b=5.313 c=4.503 alpha=90.00 beta=90.00 gamma=90.00
Positions (direct):
Tl: 0.000 0.500 0.000
Tl: 0.500 0.000 0.000
Hg: 0.000 0.000 0.500
Te: 0.500 0.500 0.500

The value obtained for the volume is 31.8 Å³ per atom.

Entry b
Computed, not measured: a relaxed structure of Tl2HgTe at the PBE level of DFT.

Unit cell a=8.085 b=8.085 c=8.085 alpha=90.00 beta=90.00 gamma=90.00
Positions (direct):
Tl: 0.250 0.250 0.250
Tl: 0.250 0.250 0.750
Tl: 0.250 0.750 0.250
Tl: 0.250 0.750 0.750
Tl: 0.750 0.250 0.250
Tl: 0.750 0.250 0.750
Tl: 0.750 0.750 0.250
Tl: 0.750 0.750 0.750
Hg: 0.000 0.000 0.000
Hg: 0.000 0.500 0.500
Hg: 0.500 0.000 0.500
Hg: 0.500 0.500 0.000
Te: 0.000 0.000 0.500
Te: 0.000 0.500 0.000
Te: 0.500 0.000 0.000
Te: 0.500 0.500 0.500

The value obtained for the volume is 33.0 Å³ per atom.

Entry c
Computed, not measured: a relaxed structure of Tl2HgTe at the PBE level of DFT.

Unit cell a=4.072 b=4.072 c=8.092 alpha=90.00 beta=90.00 gamma=90.00
Positions (direct):
Tl: 0.000 0.000 0.226
Tl: 0.000 0.000 0.774
Hg: 0.500 0.500 0.500
Te: 0.500 0.500 0.000

The value obtained for the volume is 33.5 Å³ per atom.

Entry d
Computed, not measured: a relaxed structure of Tl2HgTe at the PBE level of DFT.

Unit cell a=8.674 b=8.674 c=7.328 alpha=90.00 beta=90.00 gamma=90.00
Positions (direct):
Tl: 0.244 0.750 0.125
Tl: 0.250 0.244 0.875
Tl: 0.250 0.256 0.375
Tl: 0.256 0.750 0.625
Tl: 0.744 0.250 0.625
Tl: 0.750 0.744 0.375
Tl: 0.750 0.756 0.875
Tl: 0.756 0.250 0.125
Hg: 0.000 0.000 0.500
Hg: 0.000 0.500 0.750
Hg: 0.500 0.000 0.250
Hg: 0.500 0.500 0.000
Te: 0.000 0.000 0.000
Te: 0.000 0.500 0.250
Te: 0.500 0.000 0.750
Te: 0.500 0.500 0.500

The value obtained for the volume is 34.5 Å³ per atom.

Q: Which of them is the most stable? A: entry b.

Entry a
Computed, not measured: a relaxed structure of TlHg4Te2 at the PBE level of DFT.

Unit cell a=8.204 b=4.471 c=12.677 alpha=90.00 beta=106.51 gamma=90.00
Positions (direct):
Tl: 0.000 0.000 0.000
Tl: 0.500 0.500 0.000
Hg: 0.035 0.500 0.719
Hg: 0.138 0.000 0.435
Hg: 0.362 0.500 0.565
Hg: 0.465 0.000 0.281
Hg: 0.535 0.000 0.719
Hg: 0.638 0.500 0.435
Hg: 0.862 0.000 0.565
Hg: 0.965 0.500 0.281
Te: 0.247 0.500 0.173
Te: 0.253 0.000 0.827
Te: 0.747 0.000 0.173
Te: 0.753 0.500 0.827

The value obtained for the volume is 31.8 Å³ per atom.

Entry b
Computed, not measured: a relaxed structure of TlHg4Te2 at the PBE level of DFT.

Unit cell a=6.011 b=6.011 c=15.268 alpha=90.00 beta=90.00 gamma=90.00
Positions (direct):
Tl: 0.000 0.000 0.000
Tl: 0.500 0.500 0.500
Hg: 0.000 0.000 0.206
Hg: 0.000 0.000 0.794
Hg: 0.000 0.500 0.000
Hg: 0.000 0.500 0.500
Hg: 0.500 0.000 0.000
Hg: 0.500 0.000 0.500
Hg: 0.500 0.500 0.294
Hg: 0.500 0.500 0.706
Te: 0.000 0.000 0.404
Te: 0.000 0.000 0.596
Te: 0.500 0.500 0.096
Te: 0.500 0.500 0.904

The value obtained for the volume is 39.4 Å³ per atom.

Q: Which of them is the most stable? A: entry a.

Entry a
Computed, not measured: a relaxed structure of Tl3HgTe at the PBE level of DFT.

Unit cell a=5.431 b=6.872 c=9.050 alpha=90.05 beta=107.13 gamma=90.01
Positions (direct):
Tl: 0.000 0.000 0.000
Tl: 0.035 0.500 0.063
Tl: 0.211 0.144 0.412
Tl: 0.408 0.307 0.816
Tl: 0.627 0.808 0.248
Tl: 0.824 0.643 0.651
Hg: 0.429 0.802 0.858
Hg: 0.606 0.303 0.205
Te: 0.214 0.635 0.427
Te: 0.821 0.135 0.636

The value obtained for the volume is 32.3 Å³ per atom.

Entry b
Computed, not measured: a relaxed structure of Tl3HgTe at the PBE level of DFT.

Unit cell a=8.008 b=8.008 c=12.841 alpha=102.90 beta=102.90 gamma=61.75
Positions (direct):
Tl: 0.036 0.213 0.770
Tl: 0.167 0.393 0.605
Tl: 0.194 0.776 0.995
Tl: 0.213 0.036 0.270
Tl: 0.224 0.806 0.505
Tl: 0.393 0.167 0.105
Tl: 0.607 0.833 0.895
Tl: 0.776 0.194 0.495
Tl: 0.787 0.964 0.730
Tl: 0.806 0.224 0.005
Tl: 0.833 0.607 0.395
Tl: 0.964 0.787 0.230
Hg: 0.317 0.400 0.359
Hg: 0.400 0.317 0.859
Hg: 0.600 0.683 0.141
Hg: 0.683 0.600 0.641
Te: 0.000 0.500 0.000
Te: 0.276 0.724 0.750
Te: 0.500 0.000 0.500
Te: 0.724 0.276 0.250

The value obtained for the volume is 35.0 Å³ per atom.

Q: Which of them is the most stable? A: entry a.

Entry a
Computed, not measured: a relaxed structure of TlHg3Te at the PBE level of DFT.

Unit cell a=10.200 b=10.200 c=7.897 alpha=104.55 beta=104.55 gamma=54.44
Positions (direct):
Tl: 0.021 0.774 0.844
Tl: 0.226 0.979 0.656
Tl: 0.774 0.021 0.344
Tl: 0.979 0.226 0.156
Hg: 0.058 0.362 0.607
Hg: 0.198 0.403 0.998
Hg: 0.287 0.529 0.366
Hg: 0.362 0.058 0.107
Hg: 0.403 0.198 0.498
Hg: 0.471 0.713 0.134
Hg: 0.529 0.287 0.866
Hg: 0.597 0.802 0.502
Hg: 0.638 0.942 0.893
Hg: 0.713 0.471 0.634
Hg: 0.802 0.597 0.002
Hg: 0.942 0.638 0.393
Te: 0.131 0.869 0.250
Te: 0.378 0.622 0.750
Te: 0.622 0.378 0.250
Te: 0.869 0.131 0.750

The value obtained for the volume is 32.1 Å³ per atom.

Entry b
Computed, not measured: a relaxed structure of TlHg3Te at the PBE level of DFT.

Unit cell a=5.833 b=5.833 c=5.833 alpha=90.00 beta=90.00 gamma=90.00
Positions (direct):
Tl: 0.000 0.000 0.000
Hg: 0.000 0.500 0.500
Hg: 0.500 0.000 0.500
Hg: 0.500 0.500 0.000
Te: 0.500 0.500 0.500

The value obtained for the volume is 39.7 Å³ per atom.

Q: Which of them is the most stable? A: entry a.

Entry a
Computed, not measured: a relaxed structure of TlHgTe3 at the PBE level of DFT.

Unit cell a=5.690 b=5.690 c=5.690 alpha=90.00 beta=90.00 gamma=90.00
Positions (direct):
Tl: 0.000 0.000 0.000
Hg: 0.500 0.500 0.500
Te: 0.000 0.500 0.500
Te: 0.500 0.000 0.500
Te: 0.500 0.500 0.000

The value obtained for the volume is 36.8 Å³ per atom.

Entry b
Computed, not measured: a relaxed structure of TlHgTe3 at the PBE level of DFT.

Unit cell a=5.819 b=5.819 c=5.819 alpha=90.00 beta=90.00 gamma=90.00
Positions (direct):
Tl: 0.000 0.000 0.000
Hg: 0.500 0.500 0.500
Te: 0.000 0.000 0.500
Te: 0.000 0.500 0.000
Te: 0.500 0.000 0.000

The value obtained for the volume is 39.4 Å³ per atom.

Q: Which of them is the most stable? A: entry a.

Entry a
Computed, not measured: a relaxed structure of TmHgTe at the PBE level of DFT.

Unit cell a=4.242 b=6.140 c=4.242 alpha=90.00 beta=90.00 gamma=90.00
Positions (direct):
Tm: 0.000 0.000 0.000
Hg: 0.000 0.500 0.999
Te: 0.500 0.000 0.500

The value obtained for the volume is 36.8 Å³ per atom.

Entry b
Computed, not measured: a relaxed structure of TmHgTe at the PBE level of DFT.

Unit cell a=10.179 b=10.179 c=10.179 alpha=27.19 beta=27.19 gamma=27.19
Positions (direct):
Tm: 0.064 0.064 0.064
Tm: 0.936 0.936 0.936
Hg: 0.339 0.339 0.339
Hg: 0.661 0.661 0.661
Te: 0.225 0.225 0.225
Te: 0.775 0.775 0.775

The value obtained for the volume is 32.4 Å³ per atom.

Q: Which of them is the most stable? A: entry b.

Entry a
Computed, not measured: a relaxed structure of UHgTe at the PBE level of DFT.

Unit cell a=9.298 b=9.298 c=5.112 alpha=90.00 beta=90.00 gamma=90.00
Positions (direct):
U: 0.000 0.129 0.000
U: 0.000 0.871 0.000
U: 0.129 0.000 0.500
U: 0.871 0.000 0.500
Hg: 0.300 0.500 0.000
Hg: 0.500 0.300 0.500
Hg: 0.500 0.700 0.500
Hg: 0.700 0.500 0.000
Te: 0.000 0.315 0.500
Te: 0.000 0.685 0.500
Te: 0.315 0.000 0.000
Te: 0.685 0.000 0.000

The value obtained for the volume is 36.8 Å³ per atom.

Entry b
Computed, not measured: a relaxed structure of UHgTe at the PBE level of DFT.

Unit cell a=3.811 b=3.811 c=11.120 alpha=90.00 beta=90.00 gamma=90.00
Positions (direct):
U: 0.000 0.000 0.000
U: 0.500 0.500 0.500
Hg: 0.000 0.000 0.672
Hg: 0.500 0.500 0.172
Te: 0.000 0.000 0.348
Te: 0.500 0.500 0.848

The value obtained for the volume is 26.9 Å³ per atom.

Q: Which of them is the most stable? A: entry b.

Entry a
Computed, not measured: a relaxed structure of HgTeW at the PBE level of DFT.

Unit cell a=3.269 b=5.212 c=16.462 alpha=90.00 beta=90.00 gamma=90.00
Positions (direct):
Hg: 0.000 0.000 0.000
Hg: 0.000 0.500 0.500
Hg: 0.500 0.000 0.500
Hg: 0.500 0.500 0.000
Te: 0.000 0.000 0.719
Te: 0.000 0.500 0.219
Te: 0.500 0.000 0.219
Te: 0.500 0.500 0.719
W: 0.000 0.000 0.351
W: 0.000 0.500 0.851
W: 0.500 0.000 0.851
W: 0.500 0.500 0.351

The value obtained for the volume is 23.4 Å³ per atom.

Entry b
Computed, not measured: a relaxed structure of HgTeW at the PBE level of DFT.

Unit cell a=3.307 b=3.307 c=7.279 alpha=90.00 beta=90.00 gamma=120.00
Positions (direct):
Hg: 0.000 0.000 0.000
Te: 0.333 0.667 0.432
W: 0.667 0.333 0.689

The value obtained for the volume is 23.0 Å³ per atom.

Entry c
Computed, not measured: a relaxed structure of HgTeW at the PBE level of DFT.

Unit cell a=6.556 b=6.556 c=6.556 alpha=90.00 beta=90.00 gamma=90.00
Positions (direct):
Hg: 0.000 0.000 0.000
Hg: 0.000 0.500 0.500
Hg: 0.500 0.000 0.500
Hg: 0.500 0.500 0.000
Te: 0.000 0.000 0.500
Te: 0.000 0.500 0.000
Te: 0.500 0.000 0.000
Te: 0.500 0.500 0.500
W: 0.250 0.250 0.750
W: 0.250 0.750 0.250
W: 0.750 0.250 0.250
W: 0.750 0.750 0.750

The value obtained for the volume is 23.5 Å³ per atom.

Q: Which of them is the most stable? A: entry b.